#i
This record from Alexandria describes a geometry-optimized KMnI3 structure. The functional is PBE-GGA.

Cell: 8.6908 9.8720 13.5602 Å, 90.00 123.26 90.00°
Closest atoms and distances in Å follow each position.
Fractional positions:
K 0.0668 0.2367 0.4425  6 I 3.58-3.98
K 0.0668 0.2633 0.9425  6 I 3.58-3.98
K 0.9332 0.7367 0.0575  6 I 3.58-3.98
K 0.9332 0.7633 0.5575  6 I 3.58-3.98
Mn 0.4412 0.0201 0.3535  4 I 2.65-2.78
Mn 0.4412 0.4799 0.8535  4 I 2.65-2.78
Mn 0.5588 0.5201 0.1465  4 I 2.65-2.78
Mn 0.5588 0.9799 0.6465  4 I 2.65-2.78
I 0.0899 0.0671 0.1844  1 Mn 2.67
I 0.0899 0.4329 0.6844  1 Mn 2.67
I 0.3009 0.0044 0.6926  1 Mn 2.65
I 0.3009 0.4956 0.1926  1 Mn 2.65
I 0.4555 0.7127 0.9734  2 Mn 2.76-2.78
I 0.4555 0.7873 0.4734  2 Mn 2.76-2.78
I 0.5445 0.2127 0.5266  2 Mn 2.76-2.78
I 0.5445 0.2873 0.0266  2 Mn 2.76-2.78
I 0.6991 0.5044 0.8074  1 Mn 2.65
I 0.6991 0.9956 0.3074  1 Mn 2.65
I 0.9101 0.5671 0.3156  1 Mn 2.67
I 0.9101 0.9329 0.8156  1 Mn 2.67

Values from the calculation:
magnetization: 1.0000 μB/atom

---

#ii
This record from Alexandria describes a geometry-optimized KMnI3 structure. The functional is PBE-GGA.

Cell: 6.5229 6.5229 6.5229 Å, 90.00 90.00 90.00°
Closest atoms and distances in Å follow each position.
Fractional positions:
K 0.0000 0.0000 0.0000  6 I 3.26
Mn 0.5000 0.5000 0.5000  12 I 4.61
I 0.0000 0.0000 0.5000  2 K 3.26
I 0.0000 0.5000 0.0000  2 K 3.26
I 0.5000 0.0000 0.0000  2 K 3.26

Values from the calculation:
magnetization: 1.4000 μB/atom

---

The data favor #i; the next most stable structure lies 105.9 kJ/mol of atoms above it.

---

#i
This record from Alexandria describes a geometry-optimized K2MnI structure. The functional is PBE-GGA.

Cell: 7.9763 7.9763 7.9763 Å, 107.90 107.90 112.65°
Closest atoms and distances in Å follow each position.
Fractional positions:
K 0.1122 0.1250 0.4872  2 I 3.42, 2 Mn 3.58
K 0.3750 0.8878 0.0128  2 I 3.42, 2 Mn 3.58
K 0.6378 0.6250 0.5128  2 I 3.42, 2 Mn 3.58
K 0.8750 0.3622 0.9872  2 I 3.42, 2 Mn 3.58
Mn 0.2500 0.7500 0.5000  4 K 3.58
Mn 0.5000 0.5000 0.0000  4 K 3.58
I 0.0000 0.0000 0.0000  4 K 3.42
I 0.7500 0.2500 0.5000  4 K 3.42

Values from the calculation:
magnetization: 1.0000 μB/atom

---

#ii
This record from Alexandria describes a geometry-optimized K2MnI structure. The functional is PBE-GGA.

Cell: 6.1919 6.1919 6.1919 Å, 60.00 60.00 60.00°
Closest atoms and distances in Å follow each position.
Fractional positions:
K 0.2500 0.2500 0.2500  4 Mn 3.79, 4 I 3.79
K 0.7500 0.7500 0.7500  4 I 3.79, 4 Mn 3.79
Mn 0.0000 0.0000 0.0000  8 K 3.79
I 0.5000 0.5000 0.5000  8 K 3.79

Values from the calculation:
magnetization: 1.0842 μB/atom

---

The data favor #ii; the next most stable structure lies 1.1 kJ/mol of atoms above it.

---

#i
This record from Alexandria describes a geometry-optimized KRb2MnI6 structure. The functional is PBE-GGA.

Cell: 8.2557 9.1739 14.5362 Å, 90.00 124.40 90.00°
Closest atoms and distances in Å follow each position.
Fractional positions:
K 0.0000 0.0000 0.0000  6 I 3.40-3.72
K 0.0000 0.5000 0.5000  6 I 3.40-3.72
Rb 0.2252 0.0896 0.7605  7 I 3.74-4.09
Rb 0.2252 0.4104 0.2605  7 I 3.74-4.09
Rb 0.7748 0.5896 0.7395  7 I 3.74-4.09
Rb 0.7748 0.9104 0.2395  7 I 3.74-4.09
Mn 0.5000 0.0000 0.5000  4 I 2.71-2.72
Mn 0.5000 0.5000 0.0000  4 I 2.71-2.72
I 0.1811 0.1531 0.4558  1 Mn 2.72
I 0.1811 0.3469 0.9558  1 Mn 2.72
I 0.2729 0.7139 0.4458  1 Mn 3.06, 1 K 3.40
I 0.2729 0.7861 0.9458  1 Mn 3.06, 1 K 3.40
I 0.3822 0.0220 0.2847  1 Mn 2.71
I 0.3822 0.4780 0.7847  1 Mn 2.71
I 0.6178 0.5220 0.2153  1 Mn 2.71
I 0.6178 0.9780 0.7153  1 Mn 2.71
I 0.7271 0.2139 0.0542  1 Mn 3.06, 1 K 3.40
I 0.7271 0.2861 0.5542  1 Mn 3.06, 1 K 3.40
I 0.8189 0.6531 0.0442  1 Mn 2.72
I 0.8189 0.8469 0.5442  1 Mn 2.72

Values from the calculation:
magnetization: 0.3996 μB/atom

---

#ii
This record from Alexandria describes a geometry-optimized KRb2MnI6 structure. The functional is PBE-GGA.

Cell: 8.6760 8.6760 8.6760 Å, 60.00 60.00 60.00°
Closest atoms and distances in Å follow each position.
Fractional positions:
K 0.0000 0.0000 0.0000  6 I 3.35
Rb 0.2500 0.2500 0.2500  12 I 4.35
Rb 0.7500 0.7500 0.7500  12 I 4.35
Mn 0.5000 0.5000 0.5000  6 I 2.78
I 0.2730 0.2730 0.7270  1 Mn 2.78
I 0.2730 0.7270 0.2730  1 Mn 2.78
I 0.2730 0.7270 0.7270  1 Mn 2.78
I 0.7270 0.2730 0.2730  1 Mn 2.78
I 0.7270 0.2730 0.7270  1 Mn 2.78
I 0.7270 0.7270 0.2730  1 Mn 2.78

Values from the calculation:
magnetization: 0.4000 μB/atom

---

The data favor #i; the next most stable structure lies 3.6 kJ/mol of atoms above it.

---

#i
This record from Alexandria describes a geometry-optimized KMnTeI2 structure. The functional is PBE-GGA.

Cell: 5.8307 5.8307 5.3327 Å, 90.00 90.00 90.00°
Closest atoms and distances in Å follow each position.
Fractional positions:
K 0.0000 0.0000 0.0000  8 I 3.95, 4 Te 4.12
Mn 0.5000 0.5000 0.5000  2 Te 2.67, 4 I 2.92
Te 0.5000 0.5000 0.0000  2 Mn 2.67
I 0.0000 0.5000 0.5000  2 Mn 2.92
I 0.5000 0.0000 0.5000  2 Mn 2.92

Values from the calculation:
magnetization: 0.8209 μB/atom

---

#ii
This record from Alexandria describes a geometry-optimized KMnTeI2 structure. The functional is PBE-GGA.

Cell: 6.3325 6.3325 6.3233 Å, 90.00 90.00 90.00°
Closest atoms and distances in Å follow each position.
Fractional positions:
K 0.0000 0.0000 0.0000  2 Te 3.16, 4 I 3.17
Mn 0.5000 0.5000 0.5000  8 I 4.47, 4 Te 4.48
Te 0.0000 0.0000 0.5000  2 K 3.16
I 0.0000 0.5000 0.0000  2 K 3.17
I 0.5000 0.0000 0.0000  2 K 3.17

Values from the calculation:
magnetization: 1.2463 μB/atom

---

The data favor #i; the next most stable structure lies 105.8 kJ/mol of atoms above it.

---

#i
This record from Alexandria describes a geometry-optimized K2MoI structure. The functional is PBE-GGA.

Cell: 9.2355 9.2355 9.2355 Å, 95.59 95.59 143.63°
Closest atoms and distances in Å follow each position.
Fractional positions:
K 0.3750 0.2358 0.3608  2 I 3.47
K 0.7642 0.1250 0.1392  2 I 3.47
K 0.8750 0.0142 0.6392  2 I 3.47
K 0.9858 0.6250 0.8608  2 I 3.47
Mo 0.2500 0.7500 0.5000  2 I 2.88
Mo 0.5000 0.5000 0.0000  2 I 2.88
I 0.0000 0.0000 0.0000  2 Mo 2.88
I 0.7500 0.2500 0.5000  2 Mo 2.88

Values from the calculation:
magnetization: 1.1644 μB/atom

---

#ii
This record from Alexandria describes a geometry-optimized K2MoI structure. The functional is PBE-GGA.

Cell: 6.2321 6.2321 6.2321 Å, 60.00 60.00 60.00°
Closest atoms and distances in Å follow each position.
Fractional positions:
K 0.2500 0.2500 0.2500  4 Mo 3.82, 4 I 3.82
K 0.7500 0.7500 0.7500  4 Mo 3.82, 4 I 3.82
Mo 0.0000 0.0000 0.0000  8 K 3.82
I 0.5000 0.5000 0.5000  8 K 3.82

Values from the calculation:
magnetization: 1.2500 μB/atom

---

The data favor #ii; the next most stable structure lies 10.0 kJ/mol of atoms above it.

---

#i
This record from Alexandria describes a geometry-optimized K2MoI2 structure. The functional is PBE-GGA.

Cell: 9.7411 9.7411 4.4028 Å, 90.00 90.00 90.00°
Closest atoms and distances in Å follow each position.
Fractional positions:
K 0.1414 0.3586 0.0000  6 I 3.52-3.66, 2 Mo 3.76, 1 K 3.89
K 0.3586 0.8586 0.0000  6 I 3.52-3.66, 2 Mo 3.76, 1 K 3.89
K 0.6414 0.1414 0.0000  6 I 3.52-3.66, 2 Mo 3.76, 1 K 3.89
K 0.8586 0.6414 0.0000  6 I 3.52-3.66, 2 Mo 3.76, 1 K 3.89
Mo 0.0000 0.0000 0.0000  4 K 3.76
Mo 0.5000 0.5000 0.0000  4 K 3.76
I 0.1588 0.6588 0.5000  6 K 3.52-3.66
I 0.3412 0.1588 0.5000  6 K 3.52-3.66
I 0.6588 0.8412 0.5000  6 K 3.52-3.66
I 0.8412 0.3412 0.5000  6 K 3.52-3.66

Values from the calculation:
magnetization: 1.1988 μB/atom

---

#ii
This record from Alexandria describes a geometry-optimized K2MoI2 structure. The functional is PBE-GGA.

Cell: 7.7874 7.7874 7.7874 Å, 129.01 129.01 75.00°
Closest atoms and distances in Å follow each position.
Fractional positions:
K 0.1905 0.1905 0.0000  4 I 3.43, 1 Mo 3.82
K 0.8095 0.8095 0.0000  4 I 3.43, 1 Mo 3.82
Mo 0.5000 0.5000 0.0000  2 K 3.82
I 0.2500 0.7500 0.5000  4 K 3.43
I 0.7500 0.2500 0.5000  4 K 3.43

Values from the calculation:
magnetization: 1.2000 μB/atom

---

The data favor #i; the next most stable structure lies 8.3 kJ/mol of atoms above it.

---

#i
This record from Alexandria describes a geometry-optimized KMo3I structure. The functional is PBE-GGA.

Cell: 4.7064 4.7064 4.7064 Å, 90.00 90.00 90.00°
Closest atoms and distances in Å follow each position.
Fractional positions:
K 0.0000 0.0000 0.0000  6 Mo 2.35
Mo 0.0000 0.0000 0.5000  2 K 2.35
Mo 0.0000 0.5000 0.0000  2 K 2.35
Mo 0.5000 0.0000 0.0000  2 K 2.35
I 0.5000 0.5000 0.5000  12 Mo 3.33

Values from the calculation:
magnetization: 0.0000 μB/atom

---

#ii
This record from Alexandria describes a geometry-optimized KMo3I structure. The functional is PBE-GGA.

Cell: 5.0253 5.0253 5.0253 Å, 90.00 90.00 90.00°
Closest atoms and distances in Å follow each position.
Fractional positions:
K 0.0000 0.0000 0.0000  12 Mo 3.55
Mo 0.0000 0.5000 0.5000  2 I 2.51
Mo 0.5000 0.0000 0.5000  2 I 2.51
Mo 0.5000 0.5000 0.0000  2 I 2.51
I 0.5000 0.5000 0.5000  6 Mo 2.51

Values from the calculation:
magnetization: 0.0000 μB/atom

---

The data favor #ii; the next most stable structure lies 112.9 kJ/mol of atoms above it.

---

#i
This record from Alexandria describes a geometry-optimized KIN structure. The functional is PBE-GGA.

Cell: 3.6250 4.7528 9.7916 Å, 90.00 94.08 90.00°
Closest atoms and distances in Å follow each position.
Fractional positions:
K 0.0075 0.2500 0.3823  6 N 2.91-3.15
K 0.9925 0.7500 0.6177  6 N 2.91-3.15
I 0.4614 0.7500 0.1649  1 N 2.00
I 0.5386 0.2500 0.8351  1 N 2.00
N 0.5000 0.2500 0.6306  1 I 2.00
N 0.5000 0.7500 0.3694  1 I 2.00

Values from the calculation:
magnetization: 0.1139 μB/atom

---

#ii
This record from Alexandria describes a geometry-optimized KIN structure. The functional is PBE-GGA.

Cell: 7.7006 5.5234 10.5090 Å, 90.00 90.00 90.00°
Closest atoms and distances in Å follow each position.
Fractional positions:
K 0.1124 0.2500 0.0922  3 N 2.83-2.85
K 0.3876 0.7500 0.5922  3 N 2.83-2.85
K 0.6124 0.2500 0.4078  3 N 2.83-2.85
K 0.8876 0.7500 0.9078  3 N 2.83-2.85
I 0.1748 0.2500 0.7478  2 N 2.22-2.24
I 0.3252 0.7500 0.2478  2 N 2.22-2.24
I 0.6748 0.2500 0.7522  2 N 2.22-2.24
I 0.8252 0.7500 0.2522  2 N 2.22-2.24
N 0.0715 0.7500 0.1432  2 I 2.22-2.24
N 0.4285 0.2500 0.6432  2 I 2.22-2.24
N 0.5715 0.7500 0.3568  2 I 2.22-2.24
N 0.9285 0.2500 0.8568  2 I 2.22-2.24

Values from the calculation:
magnetization: 0.3350 μB/atom

---

The data favor #ii; the next most stable structure lies 6.4 kJ/mol of atoms above it.